Below is a geometry-optimized LiInTcRu structure, with properties calculated at the GGA-PBE level.

a = 6.2229 Å, b = 6.2229 Å, c = 6.2229 Å
α = 90.00°, β = 90.00°, γ = 90.00°
Closest atoms and distances in Å follow each position.
Space group F-43m (No. 216)
Asymmetric unit:
Li (0.0000, 0.0000, 0.0000) x4  4 In 2.69, 4 Tc 2.69
In (0.2500, 0.2500, 0.2500) x4  4 Li 2.69, 4 Ru 2.69
Tc (0.2500, 0.2500, 0.7500) x4  4 Li 2.69, 4 Ru 2.69
Ru (0.0000, 0.0000, 0.5000) x4  4 In 2.69, 4 Tc 2.69

## Properties
E_form in eV per atom: 0.048
Calculated density in g/cm3: 8.84
Total moment in μB/cell: 0.00